No. 1
Entry from Alexandria via LeMat-Bulk: a relaxed structure of KHo2Hg3 (PBE).

Output
- Total magnetic moment: 0.0 Bohr magnetons per cell
- E_form: -0.372 eV per atom

abc: 3.7290 3.7290 12.2064
angles: 90.00 90.00 90.00
Closest atoms and distances in Å follow each position.
Space group P4/mmm (No. 123)
Unique sites:
K (0.0000, 0.0000, 0.0000) x1  8 Hg 3.67, 4 K 3.73
Ho (0.0000, 0.0000, 0.3471) x2  8 Hg 3.13-3.23
Hg (0.5000, 0.5000, 0.2093) x2  4 Ho 3.13
Hg (0.5000, 0.5000, 0.5000) x1  8 Ho 3.23, 2 Hg 3.55

No. 2
Entry from Alexandria via LeMat-Bulk: a relaxed structure of KHo4Hg5 (PBE).

Output
- Total magnetic moment: 0.0 Bohr magnetons per cell
- E_form: -0.414 eV per atom

abc: 3.7292 3.7292 19.5238
angles: 90.00 90.00 90.00
Closest atoms and distances in Å follow each position.
Space group P4/mmm (No. 123)
Unique sites:
K (0.0000, 0.0000, 0.0000) x1  8 Hg 3.67, 4 K 3.73
Ho (0.0000, 0.0000, 0.2162) x2  8 Hg 3.12-3.23
Ho (0.0000, 0.0000, 0.4060) x2  8 Hg 3.21
Hg (0.5000, 0.5000, 0.1307) x2  4 Ho 3.12
Hg (0.5000, 0.5000, 0.3120) x2  8 Ho 3.21-3.23, 1 Hg 3.54
Hg (0.5000, 0.5000, 0.5000) x1  8 Ho 3.21

No. 3
Entry from Alexandria via LeMat-Bulk: a relaxed structure of K2HoHg2Se4 (PBE).

Output
- E_form (uncorrected): -8.72 eV/f.u.
- Total magnetic moment: 0.0 Bohr magnetons per cell

abc: 16.5330 4.1886 8.3481
angles: 90.00 114.24 90.00
Closest atoms and distances in Å follow each position.
Space group C2/m (No. 12)
Unique sites:
K (0.1257, 0.0000, 0.0688) x4  7 Se 3.32-3.60, 1 Hg 3.52
Ho (0.0000, 0.0000, 0.5000) x2  6 Se 2.90-2.92
Hg (0.1903, 0.5000, 0.5228) x4  3 Se 2.74-2.77, 2 Hg 3.01
Se (0.0188, 0.5000, 0.2743) x4  1 Hg 2.74, 2 Ho 2.92
Se (0.1867, 0.0000, 0.7364) x4  2 Hg 2.77, 1 Ho 2.90